This record from Alexandria describes ZrMo after structural relaxation. The functional is GGA-PBE.

Calculated formation energy (eV/atom): 0.801

Cell lengths 5.434, 5.434, 5.571 Å; angles 90.00, 90.00, 90.00 degrees
Space group P4_2/mnm (No. 136)
Symmetry-distinct sites (fractional):
Zr  0.202  0.202  0.000 (multiplicity 4)
Mo  0.186  0.186  0.500 (multiplicity 4)

This record from Alexandria describes PrNpTaN3 after structural relaxation. The functional is GGA-PBE.

Formation energy (no corrections) (eV per atom): -0.893

Cell lengths 7.347, 3.366, 8.158 Å; angles 90.00, 92.29, 90.00 degrees
Space group P2_1/m (No. 11)
Symmetry-distinct sites (fractional):
Pr  0.138  0.250  0.172 (multiplicity 2)
Np  0.376  0.750  0.848 (multiplicity 2)
Ta  0.135  0.250  0.577 (multiplicity 2)
N  0.148  0.250  0.840 (multiplicity 2)
N  0.156  0.750  0.425 (multiplicity 2)
N  0.403  0.750  0.109 (multiplicity 2)